1.
The following is a PBE calculation of an optimized crystal structure of ScTe2Pt, from Alexandria.

Crystal system: monoclinic
Magnetic moment: 0.00 μB/cell
Uncorrected formation energy: -0.483 eV/atom
Final energy: -20.59 eV for the cell shown

```
ScTe2Pt
1.0
3.666 -2.118 0.000
3.666 2.118 0.000
-2.277 0.000 6.310
Sc Te Pt
1 2 1
Direct
0.000 0.000 0.000
0.249 0.249 0.734
0.751 0.751 0.266
0.500 0.500 0.500
```

2.
The following is a PBE calculation of an optimized crystal structure of Tm8FeRh2, from Alexandria.

Crystal system: monoclinic
Magnetic moment: 0.00 μB/cell
Energy relative to the elements: -289 meV per atom
Final energy: -62.12 eV for the cell shown

```
Tm8FeRh2
1.0
4.064 -6.216 0.000
4.064 6.216 0.000
-2.062 0.000 5.485
Tm Fe Rh
8 1 2
Direct
0.000 0.000 0.000
0.009 0.265 0.590
0.149 0.560 0.178
0.265 0.009 0.590
0.427 0.680 0.789
0.560 0.149 0.178
0.680 0.427 0.789
0.704 0.704 0.361
0.356 0.356 0.009
0.032 0.656 0.686
0.656 0.032 0.686
```

3.
The following is a PBE calculation of an optimized crystal structure of MgCoIr2, from Alexandria.

Crystal system: monoclinic
Magnetic moment: 2.06 μB/cell
Energy relative to the elements: -87 meV per atom
Final energy: -26.77 eV for the cell shown

```
MgCoIr2
1.0
4.453 -1.372 0.000
4.453 1.372 0.000
-0.917 0.000 4.643
Mg Co Ir
1 1 2
Direct
0.000 0.000 0.000
0.500 0.500 0.500
0.240 0.240 0.738
0.760 0.760 0.262
```

4.
The following is a PBE calculation of an optimized crystal structure of BiRuOF2, from Alexandria.

Crystal system: tetragonal
Magnetic moment: 3.02 μB/cell
Relative energy among the computed polymorphs: 165 kJ/mol of formula units
Uncorrected formation energy: -0.440 eV/atom
Final energy: -24.06 eV for the cell shown

```
BiRuOF2
1.0
4.575 0.000 0.000
0.000 4.575 0.000
0.000 0.000 4.518
Bi Ru O F
1 1 1 2
Direct
0.000 0.000 0.000
0.500 0.500 0.500
0.000 0.000 0.500
0.000 0.500 0.000
0.500 0.000 0.000
```

5.
The following is a PBE calculation of an optimized crystal structure of La3HfF, from Alexandria.

Crystal system: cubic
Magnetic moment: 0.00 μB/cell
Relative energy among the computed polymorphs: 502 kJ/mol of formula units
Uncorrected formation energy: 0.182 eV/atom
Final energy: -25.69 eV for the cell shown

```
La3HfF
1.0
5.831 0.000 0.000
0.000 5.831 0.000
0.000 0.000 5.831
La Hf F
3 1 1
Direct
0.000 0.000 0.500
0.000 0.500 0.000
0.500 0.000 0.000
0.000 0.000 0.000
0.500 0.500 0.500
```

6.
The following is a PBE calculation of an optimized crystal structure of SmEr3Bi2, from Alexandria.

Crystal system: monoclinic
Magnetic moment: 0.00 μB/cell
Energy relative to the elements: -478 meV per atom
Final energy: -58.07 eV for the cell shown

```
SmEr3Bi2
1.0
9.318 -2.166 0.000
9.318 2.166 0.000
-3.948 0.000 9.105
Sm Er Bi
2 6 4
Direct
0.111 0.111 0.115
0.889 0.889 0.885
0.057 0.057 0.670
0.311 0.311 0.110
0.362 0.362 0.522
0.638 0.638 0.478
0.689 0.689 0.890
0.943 0.943 0.330
0.249 0.249 0.712
0.489 0.489 0.157
0.511 0.511 0.843
0.751 0.751 0.288
```

7.
The following is a PBE calculation of an optimized crystal structure of PRh2, from Alexandria.

Crystal system: monoclinic
Magnetic moment: 0.00 μB/cell
Energy relative to the elements: -382 meV per atom
Final energy: -42.52 eV for the cell shown

```
PRh2
1.0
4.994 -1.760 0.000
4.994 1.760 0.000
-4.022 0.000 5.011
P Rh
2 4
Direct
0.048 0.048 0.286
0.952 0.952 0.714
0.319 0.319 0.410
0.380 0.380 0.046
0.620 0.620 0.954
0.681 0.681 0.590
```

8.
The following is a PBE calculation of an optimized crystal structure of HfOsPd2Rh, from Alexandria.

Crystal system: tetragonal
Magnetic moment: 1.83 μB/cell
Energy relative to the elements: 1453 meV per atom
Final energy: -31.66 eV for the cell shown

```
HfOsPd2Rh
1.0
4.746 0.000 0.000
0.000 4.746 0.000
0.000 0.000 4.795
Hf Os Pd Rh
1 1 2 1
Direct
0.000 0.000 0.000
0.000 0.000 0.500
0.000 0.500 0.000
0.500 0.000 0.000
0.500 0.500 0.500
```

9.
The following is a PBE calculation of an optimized crystal structure of Sc2CdC, from Alexandria.

Crystal system: trigonal
Magnetic moment: 0.00 μB/cell
Energy relative to the elements: -442 meV per atom
Final energy: -24.57 eV for the cell shown

```
Sc2CdC
1.0
1.661 0.959 7.824
-1.661 0.959 7.824
0.000 -1.919 7.824
Sc Cd C
2 1 1
Direct
0.219 0.219 0.219
0.781 0.781 0.781
0.000 0.000 0.000
0.500 0.500 0.500
```

10.
The following is a PBE calculation of an optimized crystal structure of Ho6Tl6In, from Alexandria.

Crystal system: hexagonal
Magnetic moment: 0.00 μB/cell
Energy relative to the elements: -172 meV per atom
Final energy: -46.64 eV for the cell shown

```
Ho6Tl6In
1.0
6.473 0.000 0.000
-3.237 5.606 0.000
0.000 0.000 10.334
Ho Tl In
6 6 1
Direct
0.000 0.000 0.182
0.000 0.000 0.818
0.333 0.667 0.000
0.333 0.667 0.500
0.667 0.333 0.000
0.667 0.333 0.500
0.000 0.500 0.251
0.000 0.500 0.749
0.500 0.000 0.251
0.500 0.000 0.749
0.500 0.500 0.251
0.500 0.500 0.749
0.000 0.000 0.500
```

11.
The following is a PBE calculation of an optimized crystal structure of Mn2Ag3Cl8, from Alexandria.

Crystal system: monoclinic
Magnetic moment: 8.98 μB/cell
Uncorrected formation energy: -0.702 eV/atom
Final energy: -50.79 eV for the cell shown

```
Mn2Ag3Cl8
1.0
5.936 -3.707 0.000
5.936 3.707 0.000
-1.847 0.000 9.342
Mn Ag Cl
2 3 8
Direct
0.211 0.211 0.269
0.789 0.789 0.731
0.000 0.000 0.000
0.250 0.750 0.500
0.750 0.250 0.500
0.112 0.628 0.859
0.158 0.158 0.497
0.372 0.888 0.141
0.413 0.413 0.315
0.587 0.587 0.685
0.628 0.112 0.859
0.842 0.842 0.503
0.888 0.372 0.141
```

12.
The following is a PBE calculation of an optimized crystal structure of VCoP2S, from Alexandria.

Crystal system: tetragonal
Magnetic moment: 0.00 μB/cell
Relative energy among the computed polymorphs: 2 kJ/mol of formula units
Uncorrected formation energy: 0.662 eV/atom
Final energy: -27.86 eV for the cell shown

```
VCoP2S
1.0
4.214 0.000 0.000
0.000 4.214 0.000
0.000 0.000 4.554
V Co P S
1 1 2 1
Direct
0.000 0.000 0.000
0.500 0.500 0.500
0.000 0.500 0.500
0.500 0.000 0.500
0.500 0.500 0.000
```

13.
The following is a PBE calculation of an optimized crystal structure of TiSbIN2, from Alexandria.

Crystal system: tetragonal
Magnetic moment: 0.00 μB/cell
Relative energy among the computed polymorphs: 0 kJ/mol of formula units
Uncorrected formation energy: 0.697 eV/atom
Final energy: -26.74 eV for the cell shown

```
TiSbIN2
1.0
4.146 0.000 0.000
0.000 4.146 0.000
0.000 0.000 5.513
Ti Sb I N
1 1 1 2
Direct
0.000 0.000 0.000
0.500 0.500 0.500
0.000 0.000 0.500
0.000 0.500 0.000
0.500 0.000 0.000
```

14.
The following is a PBE calculation of an optimized crystal structure of Mg2CoCl, from Alexandria.

Crystal system: tetragonal
Magnetic moment: 0.45 μB/cell
Relative energy among the computed polymorphs: 111 kJ/mol of formula units
Uncorrected formation energy: -0.079 eV/atom
Final energy: -12.46 eV for the cell shown

```
Mg2CoCl
1.0
3.462 0.000 0.000
0.000 3.462 0.000
0.000 0.000 7.404
Mg Co Cl
2 1 1
Direct
0.000 0.000 0.000
0.500 0.500 0.280
0.500 0.500 0.943
0.000 0.000 0.442
```

15.
The following is a PBE calculation of an optimized crystal structure of Sc3CO6, from Alexandria.

Crystal system: orthorhombic
Magnetic moment: 0.00 μB/cell
Uncorrected formation energy: -2.706 eV/atom
Final energy: -170.06 eV for the cell shown

```
Sc3CO6
1.0
4.007 -5.101 0.000
4.007 5.101 0.000
0.000 0.000 5.534
Sc C O
6 2 12
Direct
0.083 0.917 0.500
0.186 0.421 0.516
0.421 0.186 0.016
0.579 0.814 0.516
0.814 0.579 0.016
0.917 0.083 0.000
0.348 0.652 0.895
0.652 0.348 0.395
0.138 0.574 0.886
0.162 0.173 0.255
0.173 0.162 0.755
0.268 0.732 0.406
0.426 0.862 0.886
0.471 0.529 0.984
0.529 0.471 0.484
0.574 0.138 0.386
0.732 0.268 0.906
0.827 0.838 0.255
0.838 0.827 0.755
0.862 0.426 0.386
```

16.
The following is a PBE calculation of an optimized crystal structure of SrV2ZnIr, from Alexandria.

Crystal system: tetragonal
Magnetic moment: 0.00 μB/cell
Energy relative to the elements: 2477 meV per atom
Final energy: -17.67 eV for the cell shown

```
SrV2ZnIr
1.0
4.618 0.000 0.000
0.000 4.618 0.000
0.000 0.000 4.953
Sr V Zn Ir
1 2 1 1
Direct
0.000 0.000 0.000
0.000 0.500 0.000
0.500 0.000 0.000
0.500 0.500 0.500
0.000 0.000 0.500
```

17.
The following is a PBE calculation of an optimized crystal structure of LaGa2Ir2, from Alexandria.

Crystal system: tetragonal
Magnetic moment: 0.00 μB/cell
Energy relative to the elements: -727 meV per atom
Final energy: -32.34 eV for the cell shown

```
LaGa2Ir2
1.0
-2.161 2.161 5.122
2.161 -2.161 5.122
2.161 2.161 -5.122
La Ga Ir
1 2 2
Direct
0.000 0.000 0.000
0.372 0.372 0.000
0.628 0.628 0.000
0.250 0.750 0.500
0.750 0.250 0.500
```

18.
The following is a PBE calculation of an optimized crystal structure of La3Ga5F12, from Alexandria.

Crystal system: cubic
Magnetic moment: 5.88 μB/cell
Uncorrected formation energy: -2.571 eV/atom
Final energy: -415.15 eV for the cell shown

```
La3Ga5F12
1.0
-7.223 7.223 7.223
7.223 -7.223 7.223
7.223 7.223 -7.223
La Ga F
12 20 48
Direct
0.125 0.250 0.375
0.125 0.375 0.750
0.250 0.375 0.125
0.250 0.875 0.625
0.375 0.125 0.250
0.375 0.750 0.125
0.625 0.250 0.875
0.625 0.875 0.750
0.750 0.125 0.375
0.750 0.625 0.875
0.875 0.625 0.250
0.875 0.750 0.625
0.000 0.000 0.000
0.000 0.000 0.500
0.000 0.500 0.000
0.000 0.500 0.500
0.125 0.750 0.875
0.125 0.875 0.250
0.250 0.125 0.875
0.250 0.625 0.375
0.375 0.250 0.625
0.375 0.625 0.750
0.500 0.000 0.000
0.500 0.000 0.500
0.500 0.500 0.000
0.500 0.500 0.500
0.625 0.375 0.250
0.625 0.750 0.375
0.750 0.375 0.625
0.750 0.875 0.125
0.875 0.125 0.750
0.875 0.250 0.125
0.068 0.642 0.403
0.068 0.926 0.664
0.074 0.239 0.142
0.074 0.336 0.932
0.097 0.739 0.664
0.097 0.858 0.432
0.142 0.074 0.239
0.142 0.568 0.903
0.164 0.239 0.597
0.164 0.426 0.568
0.239 0.142 0.074
0.239 0.597 0.164
0.261 0.336 0.903
0.261 0.426 0.358
0.336 0.903 0.261
0.336 0.932 0.074
0.358 0.261 0.426
0.358 0.597 0.932
0.403 0.068 0.642
0.403 0.836 0.761
0.426 0.358 0.261
0.426 0.568 0.164
0.432 0.097 0.858
0.432 0.836 0.574
0.568 0.164 0.426
0.568 0.903 0.142
0.574 0.432 0.836
0.574 0.642 0.739
0.597 0.164 0.239
0.597 0.932 0.358
0.642 0.403 0.068
0.642 0.739 0.574
0.664 0.068 0.926
0.664 0.097 0.739
0.739 0.574 0.642
0.739 0.664 0.097
0.761 0.403 0.836
0.761 0.858 0.926
0.836 0.574 0.432
0.836 0.761 0.403
0.858 0.432 0.097
0.858 0.926 0.761
0.903 0.142 0.568
0.903 0.261 0.336
0.926 0.664 0.068
0.926 0.761 0.858
0.932 0.074 0.336
0.932 0.358 0.597
```

19.
The following is a PBE calculation of an optimized crystal structure of PuHfCuS4, from Alexandria.

Crystal system: orthorhombic
Magnetic moment: 9.96 μB/cell
Uncorrected formation energy: -1.280 eV/atom
Final energy: -107.70 eV for the cell shown

```
PuHfCuS4
1.0
-3.703 3.854 5.352
3.703 -3.854 5.352
3.703 3.854 -5.352
Pu Hf Cu S
2 2 2 8
Direct
0.000 0.000 0.000
0.500 0.000 0.500
0.500 0.000 0.000
0.500 0.500 0.500
0.126 0.376 0.750
0.874 0.624 0.250
0.259 0.744 0.515
0.262 0.268 0.506
0.262 0.756 0.994
0.272 0.256 0.015
0.728 0.744 0.985
0.738 0.244 0.006
0.738 0.732 0.494
0.741 0.256 0.485
```

20.
The following is a PBE calculation of an optimized crystal structure of SmDy2In2, from Alexandria.

Crystal system: trigonal
Magnetic moment: 0.00 μB/cell
Relative energy among the computed polymorphs: 81 kJ/mol of formula units
Energy relative to the elements: -214 meV per atom
Final energy: -20.47 eV for the cell shown

```
SmDy2In2
1.0
5.264 0.000 0.000
-2.632 4.559 0.000
0.000 0.000 6.496
Sm Dy In
1 2 2
Direct
0.000 0.000 0.000
0.333 0.667 0.659
0.667 0.333 0.341
0.333 0.667 0.178
0.667 0.333 0.822
```